1.
Computed, not measured: a PBEsol-optimized structure of SbTePt2 at the SCAN level of DFT.

Values from the calculation:
Total magnetic moment   0.0 Bohr magnetons per cell
Uncorrected formation energy   0.081 eV/atom
Symmetry   I4/mmm (139)

abc: 4.8719 4.8719 4.8719
angles: 123.34 123.34 84.30
Fractional positions:
Sb 0.0000 0.0000 0.0000
Te 0.5000 0.5000 0.0000
Pt 0.2500 0.7500 0.5000
Pt 0.7500 0.2500 0.5000


2.
Computed, not measured: a PBEsol-optimized structure of OsPtSCl2 at the SCAN level of DFT.

Values from the calculation:
Total magnetic moment   3.9 Bohr magnetons per cell
Uncorrected formation energy   1.216 eV/atom
Symmetry   P4/mmm (123)

abc: 4.6737 4.6737 4.7066
angles: 90.00 90.00 90.00
Fractional positions:
Os 0.0000 0.0000 0.0000
Pt 0.5000 0.5000 0.5000
S 0.5000 0.5000 0.0000
Cl 0.0000 0.5000 0.5000
Cl 0.5000 0.0000 0.5000


3.
Computed, not measured: a PBEsol-optimized structure of MgTaPO2 at the SCAN level of DFT.

Values from the calculation:
Total magnetic moment   0.0 Bohr magnetons per cell
Uncorrected formation energy   -1.861 eV/atom
Symmetry   P4/mmm (123)

abc: 3.8771 3.8771 5.1558
angles: 90.00 90.00 90.00
Fractional positions:
Mg 0.0000 0.0000 0.0000
Ta 0.5000 0.5000 0.5000
P 0.5000 0.5000 0.0000
O 0.0000 0.5000 0.5000
O 0.5000 0.0000 0.5000


> What is the total magnetic moment in the second record?

3.9 Bohr magnetons per cell